#A
A plane-wave DFT calculation with GGA-PBE was carried out for a geometry-optimized Cd3MoBr structure.

Geometry as extended XYZ:
```
5
Lattice="5.589 0.000 0.000 0.000 5.589 0.000 0.000 0.000 5.589" Properties=species:S:1:pos:R:3 pbc="T T T"
Br 2.794 2.794 2.794
Cd 2.794 0.000 0.000
Cd 0.000 0.000 2.794
Cd 0.000 2.794 0.000
Mo 0.000 0.000 0.000
```

Values from the calculation:
N(E_F), states/eV/atom: 0.69
Crystal system: cubic

=====

#B
A plane-wave DFT calculation with GGA-PBE was carried out for a geometry-optimized Cd3MoBr structure.

Geometry as extended XYZ:
```
5
Lattice="5.573 0.000 0.000 0.000 5.573 0.000 0.000 0.000 5.573" Properties=species:S:1:pos:R:3 pbc="T T T"
Mo 2.787 2.787 2.787
Br 0.000 0.000 0.000
Cd 0.000 2.787 0.000
Cd 0.000 0.000 2.787
Cd 2.787 0.000 0.000
```

Values from the calculation:
N(E_F), states/eV/atom: 0.54
Crystal system: cubic

=====

Most favorable first, least favorable last: #A, #B

=====

#A
A plane-wave DFT calculation with GGA-PBE was carried out for a geometry-optimized CdBrN2 structure.

Geometry as extended XYZ:
```
4
Lattice="2.047 0.000 6.080 -1.024 1.773 6.080 -1.024 -1.773 6.080" Properties=species:S:1:pos:R:3 pbc="T T T"
N 0.000 0.000 16.289
N 0.000 0.000 1.952
Cd 0.000 0.000 9.120
Br 0.000 0.000 0.000
```

Values from the calculation:
N(E_F), states/eV/atom: 0.69
Crystal system: trigonal

=====

#B
A plane-wave DFT calculation with GGA-PBE was carried out for a geometry-optimized CdBrN2 structure.

Geometry as extended XYZ:
```
4
Lattice="0.000 3.024 3.024 3.024 0.000 3.024 3.024 3.024 0.000" Properties=species:S:1:pos:R:3 pbc="T T T"
Br 0.000 0.000 0.000
Cd 3.024 3.024 3.024
N 1.512 1.512 1.512
N 4.536 4.536 4.536
```

Values from the calculation:
N(E_F), states/eV/atom: 0.88
Crystal system: cubic

=====

#C
A plane-wave DFT calculation with GGA-PBE was carried out for a geometry-optimized CdBrN2 structure.

Geometry as extended XYZ:
```
4
Lattice="2.025 0.000 6.242 -1.012 1.754 6.242 -1.012 -1.754 6.242" Properties=species:S:1:pos:R:3 pbc="T T T"
Cd 0.000 0.000 0.000
N 0.000 0.000 16.619
N 0.000 0.000 2.107
Br 0.000 0.000 9.363
```

Values from the calculation:
N(E_F), states/eV/atom: 0.30
Crystal system: trigonal

=====

Most favorable first, least favorable last: #A, #C, #B

=====

#A
A plane-wave DFT calculation with GGA-PBE was carried out for a geometry-optimized CdBrN2 structure.

Geometry as extended XYZ:
```
8
Lattice="4.806 0.000 0.000 0.000 4.806 0.000 2.403 2.403 5.727" Properties=species:S:1:pos:R:3 pbc="T T T"
Cd 4.806 2.403 2.864
Cd 0.000 0.000 0.000
Br 2.403 4.806 2.864
Br 2.403 2.403 0.000
N 3.605 3.774 4.295
N 3.435 1.202 1.432
N 1.371 3.605 1.432
N 6.008 5.838 4.295
```

Values from the calculation:
N(E_F), states/eV/atom: 0.20
Crystal system: tetragonal

=====

#B
A plane-wave DFT calculation with GGA-PBE was carried out for a geometry-optimized CdBrN2 structure.

Geometry as extended XYZ:
```
8
Lattice="7.268 1.244 -0.292 1.515 3.498 0.816 -0.529 -0.501 12.459" Properties=species:S:1:pos:R:3 pbc="T T T"
Cd 3.370 0.372 6.083
Cd 0.493 1.499 6.638
N 3.981 3.280 1.697
N 1.449 0.222 0.986
N 4.273 0.962 11.286
N 6.805 4.019 11.997
Br 1.424 2.747 8.872
Br 6.830 1.495 4.111
```

Values from the calculation:
N(E_F), states/eV/atom: 0.00
Crystal system: triclinic

=====

Most favorable first, least favorable last: #B, #A

=====

#A
A plane-wave DFT calculation with GGA-PBE was carried out for a geometry-optimized CdSeBrN2 structure.

Geometry as extended XYZ:
```
5
Lattice="-3.571 1.376 -0.656 -0.347 -2.362 -3.062 -3.026 -5.624 4.681" Properties=species:S:1:pos:R:3 pbc="T T T"
N -0.174 -1.181 -1.531
N -1.786 0.688 -0.328
Se -1.513 -2.812 2.340
Br 0.000 0.000 0.000
Cd -3.472 -3.305 0.481
```

Values from the calculation:
N(E_F), states/eV/atom: 0.52
Crystal system: tetragonal

=====

#B
A plane-wave DFT calculation with GGA-PBE was carried out for a geometry-optimized CdSeBrN2 structure.

Geometry as extended XYZ:
```
5
Lattice="-1.649 3.864 0.954 -3.897 -1.778 0.463 1.151 -0.975 5.938" Properties=species:S:1:pos:R:3 pbc="T T T"
N -0.825 1.932 0.477
N -1.948 -0.889 0.232
Se 0.575 -0.488 2.969
Cd 0.000 0.000 0.000
Br -2.198 0.555 3.678
```

Values from the calculation:
N(E_F), states/eV/atom: 0.36
Crystal system: tetragonal

=====

Most favorable first, least favorable last: #B, #A

=====

#A
A plane-wave DFT calculation with GGA-PBE was carried out for a geometry-optimized CdTeBrN2 structure.

Geometry as extended XYZ:
```
5
Lattice="4.111 0.000 0.000 0.000 4.111 0.000 0.000 0.000 8.625" Properties=species:S:1:pos:R:3 pbc="T T T"
N 2.055 0.000 0.000
N 0.000 2.055 0.000
Te 0.000 0.000 4.312
Cd 2.055 2.055 4.312
Br 0.000 0.000 0.000
```

Values from the calculation:
N(E_F), states/eV/atom: 0.70
Crystal system: tetragonal

=====

#B
A plane-wave DFT calculation with GGA-PBE was carried out for a geometry-optimized CdTeBrN2 structure.

Geometry as extended XYZ:
```
5
Lattice="-1.068 3.823 -1.899 -2.638 0.947 3.391 4.956 2.898 3.046" Properties=species:S:1:pos:R:3 pbc="T T T"
N -1.319 0.474 1.696
N -0.534 1.911 -0.949
Te 2.478 1.449 1.523
Br 0.625 3.834 2.269
Cd 0.000 0.000 0.000
```

Values from the calculation:
N(E_F), states/eV/atom: 0.44
Crystal system: tetragonal

=====

Most favorable first, least favorable last: #B, #A

=====

#A
A plane-wave DFT calculation with GGA-PBE was carried out for a geometry-optimized NaCdBr3 structure.

Geometry as extended XYZ:
```
5
Lattice="-0.724 -4.703 2.792 3.255 -2.634 -3.593 4.396 1.176 3.121" Properties=species:S:1:pos:R:3 pbc="T T T"
Br 1.628 -1.317 -1.796
Br -0.362 -2.352 1.396
Br 2.198 0.588 1.560
Na 3.463 -3.081 1.160
Cd 0.000 0.000 0.000
```

Values from the calculation:
N(E_F), states/eV/atom: 0.00
Crystal system: cubic

=====

#B
A plane-wave DFT calculation with GGA-PBE was carried out for a geometry-optimized NaCdBr3 structure.

Geometry as extended XYZ:
```
10
Lattice="6.304 0.000 3.531 2.163 5.921 3.531 -0.279 -0.195 7.892" Properties=species:S:1:pos:R:3 pbc="T T T"
Br 7.135 3.305 7.402
Br 3.396 5.568 6.194
Br 4.203 4.447 10.108
Br 3.986 1.279 4.845
Br 4.792 0.159 8.759
Br 1.053 2.421 7.551
Cd 1.196 0.837 5.257
Cd 6.992 4.889 9.696
Na 5.461 3.819 5.036
Na 2.727 1.907 9.918
```

Values from the calculation:
N(E_F), states/eV/atom: 0.00
Crystal system: trigonal

=====

#C
A plane-wave DFT calculation with GGA-PBE was carried out for a geometry-optimized NaCdBr3 structure.

Geometry as extended XYZ:
```
5
Lattice="5.361 0.000 0.000 0.000 5.361 0.000 0.000 0.000 5.361" Properties=species:S:1:pos:R:3 pbc="T T T"
Br 2.680 0.000 0.000
Br 0.000 0.000 2.680
Br 0.000 2.680 0.000
Na 0.000 0.000 0.000
Cd 2.680 2.680 2.680
```

Values from the calculation:
N(E_F), states/eV/atom: 0.62
Crystal system: cubic

=====

Most favorable first, least favorable last: #B, #A, #C